Entry 1:
! ZrCrTc2 meta-GGA SCAN single point on PBEsol structure; values from VASP
&SYSTEM
  ibrav = 0, nat = 4, ntyp = 3
/
ATOMIC_SPECIES
Cr 52.00 Cr.upf
Tc 98.00 Tc.upf
Zr 91.22 Zr.upf
CELL_PARAMETERS angstrom
-2.6229 1.6631 -0.0724
-0.2649 -0.2281 4.3532
2.3252 3.6816 0.3344
ATOMIC_POSITIONS crystal
Cr 0.5000 0.0000 0.0000
Tc 0.0000 0.0000 0.5000
Tc 0.0000 0.5000 0.0000
Zr 0.5000 0.5000 0.5000
! Fermi-level density of states (states/eV/f.u.): 2.6
! E (eV per cell): -119.62
! Formation enthalpy at 0 K (eV per atom): -0.10



Entry 2:
! FeSi5 meta-GGA SCAN single point on PBEsol structure; values from VASP
&SYSTEM
  ibrav = 0, nat = 6, ntyp = 2
/
ATOMIC_SPECIES
Fe 55.84 Fe.upf
Si 28.09 Si.upf
CELL_PARAMETERS angstrom
-0.9951 1.5833 -1.8616
0.5620 -2.2000 -4.0416
-6.1453 -3.0678 -1.1942
ATOMIC_POSITIONS crystal
Fe 0.0235 0.9322 0.0208
Si 0.3005 0.0974 0.3016
Si 0.6501 0.9737 0.7261
Si 0.5798 0.5863 0.2542
Si 0.9550 0.5001 0.5898
Si 0.3244 0.4103 0.9409
! Fermi-level density of states (states/eV/f.u.): 2.4
! E (eV per cell): -66.04



Entry 3:
! LaY2Sc meta-GGA SCAN single point on PBEsol structure; values from VASP
&SYSTEM
  ibrav = 0, nat = 4, ntyp = 3
/
ATOMIC_SPECIES
Y 88.91 Y.upf
Sc 44.96 Sc.upf
La 138.91 La.upf
CELL_PARAMETERS angstrom
3.4826 0.0000 0.0000
0.0000 5.9386 0.0019
-1.7413 -1.0270 5.7018
ATOMIC_POSITIONS crystal
Y 0.2537 0.2533 0.5074
Y 0.7463 0.7467 0.4926
Sc 0.0000 0.5000 0.0000
La 0.5000 0.0000 0.0000
! Relative energy among the computed polymorphs (eV per atom): 0.0049
! Fermi-level density of states (states/eV/f.u.): 5.1
! E (eV per cell): -112.73
! Formation enthalpy at 0 K (eV per atom): 0.07



Entry 4:
! ZrRe2Te meta-GGA SCAN single point on PBEsol structure; values from VASP
&SYSTEM
  ibrav = 0, nat = 4, ntyp = 3
/
ATOMIC_SPECIES
Re 186.21 Re.upf
Te 127.60 Te.upf
Zr 91.22 Zr.upf
CELL_PARAMETERS angstrom
2.9352 0.0204 0.0000
-0.3152 4.9054 0.0000
-1.3100 -2.4629 4.8790
ATOMIC_POSITIONS crystal
Re 0.0000 0.0000 0.5000
Re 0.5000 0.5000 0.5000
Te 0.5000 0.0000 0.0000
Zr 0.0000 0.5000 0.0000
! Fermi-level density of states (states/eV/f.u.): 3.5
! E (eV per cell): -208.26



Entry 5:
! Fe4C meta-GGA SCAN single point on PBEsol structure; values from VASP
&SYSTEM
  ibrav = 0, nat = 5, ntyp = 2
/
ATOMIC_SPECIES
C 12.01 C.upf
Fe 55.84 Fe.upf
CELL_PARAMETERS angstrom
2.6918 0.0000 0.0000
1.3459 2.3311 0.0000
1.3459 0.7770 8.1095
ATOMIC_POSITIONS crystal
C 0.0000 0.0000 0.0000
Fe 0.7940 0.7940 0.6180
Fe 0.2060 0.2060 0.3820
Fe 0.3780 0.3780 0.8661
Fe 0.6220 0.6220 0.1339
! Fermi-level density of states (states/eV/f.u.): 2.1
! E (eV per cell): -81.98
! Formation enthalpy at 0 K (eV per atom): 0.13



Entry 6:
! Ga3PdPb meta-GGA SCAN single point on PBEsol structure; values from VASP
&SYSTEM
  ibrav = 0, nat = 5, ntyp = 3
/
ATOMIC_SPECIES
Pb 207.20 Pb.upf
Ga 69.72 Ga.upf
Pd 106.42 Pd.upf
CELL_PARAMETERS angstrom
4.8044 0.0000 0.0000
0.0000 4.8044 0.0000
0.0000 0.0000 4.8044
ATOMIC_POSITIONS crystal
Pb 0.5000 0.5000 0.5000
Ga 0.0000 0.5000 0.0000
Ga 0.0000 0.0000 0.5000
Ga 0.5000 0.0000 0.0000
Pd 0.0000 0.0000 0.0000
! Fermi-level density of states (states/eV/f.u.): 3.0
! E (eV per cell): -157.56
! Formation enthalpy at 0 K (eV per atom): 0.01



Entry 7:
! HfOsPb2Cl meta-GGA SCAN single point on PBEsol structure; values from VASP
&SYSTEM
  ibrav = 0, nat = 5, ntyp = 4
/
ATOMIC_SPECIES
Pb 207.20 Pb.upf
Hf 178.49 Hf.upf
Os 190.23 Os.upf
Cl 35.45 Cl.upf
CELL_PARAMETERS angstrom
4.2996 0.0000 0.0000
0.0000 5.4240 0.0000
0.0000 0.0000 5.4240
ATOMIC_POSITIONS crystal
Pb 0.0000 0.0000 0.5000
Pb 0.0000 0.5000 0.0000
Hf 0.5000 0.5000 0.5000
Os 0.0000 0.0000 0.0000
Cl 0.5000 0.0000 0.0000
! Fermi-level density of states (states/eV/f.u.): 5.2
! E (eV per cell): -288.98



Entry 8:
! Sr2PbW meta-GGA SCAN single point on PBEsol structure; values from VASP
&SYSTEM
  ibrav = 0, nat = 4, ntyp = 3
/
ATOMIC_SPECIES
Pb 207.20 Pb.upf
Sr 87.62 Sr.upf
W 183.84 W.upf
CELL_PARAMETERS angstrom
3.1943 0.0000 0.1343
0.0000 5.2837 0.0000
-0.2769 0.0000 6.2614
ATOMIC_POSITIONS crystal
Pb 0.3755 0.5000 0.7487
Sr 0.8765 0.0000 0.9637
Sr 0.8733 0.5000 0.2937
W 0.3747 0.0000 0.4939
! Fermi-level density of states (states/eV/f.u.): 3.5
! E (eV per cell): -187.02
! Formation enthalpy at 0 K (eV per atom): 0.75



Entry 9:
! Sr2MoCl meta-GGA SCAN single point on PBEsol structure; values from VASP
&SYSTEM
  ibrav = 0, nat = 4, ntyp = 3
/
ATOMIC_SPECIES
Sr 87.62 Sr.upf
Mo 95.94 Mo.upf
Cl 35.45 Cl.upf
CELL_PARAMETERS angstrom
-1.7197 1.4095 -2.5062
-2.8482 -0.4342 1.7102
1.0510 7.9447 3.7468
ATOMIC_POSITIONS crystal
Sr 0.0000 0.9993 0.7469
Sr 0.0000 0.0007 0.2531
Mo 0.5000 0.5000 0.0000
Cl 0.5000 0.5000 0.5000
! Relative energy among the computed polymorphs (eV per atom): 0.0000
! Fermi-level density of states (states/eV/f.u.): 1.6
! E (eV per cell): -87.96



Entry 10:
! LiSi2Hg meta-GGA SCAN single point on PBEsol structure; values from VASP
&SYSTEM
  ibrav = 0, nat = 4, ntyp = 3
/
ATOMIC_SPECIES
Si 28.09 Si.upf
Hg 200.59 Hg.upf
Li 6.94 Li.upf
CELL_PARAMETERS angstrom
3.4342 0.0000 0.0000
0.0000 3.4342 0.0000
0.0000 0.0000 5.5864
ATOMIC_POSITIONS crystal
Si 0.0000 0.0000 0.0381
Si 0.5000 0.5000 0.1921
Hg 0.0000 0.0000 0.5277
Li 0.5000 0.5000 0.7421
! Fermi-level density of states (states/eV/f.u.): 1.0
! E (eV per cell): -89.97



Entry 11:
! LiLa2Co meta-GGA SCAN single point on PBEsol structure; values from VASP
&SYSTEM
  ibrav = 0, nat = 4, ntyp = 3
/
ATOMIC_SPECIES
Co 58.93 Co.upf
La 138.91 La.upf
Li 6.94 Li.upf
CELL_PARAMETERS angstrom
4.8396 0.0000 0.0000
2.4198 4.1912 0.0000
2.4198 1.3971 3.9515
ATOMIC_POSITIONS crystal
Co 0.5000 0.5000 0.5000
La 0.0000 0.0000 0.0000
La 0.7500 0.7500 0.7500
Li 0.2500 0.2500 0.2500
! Fermi-level density of states (states/eV/f.u.): 4.2
! E (eV per cell): -104.68
! Formation enthalpy at 0 K (eV per atom): 0.31



Entry 12:
! RbTi3F meta-GGA SCAN single point on PBEsol structure; values from VASP
&SYSTEM
  ibrav = 0, nat = 5, ntyp = 3
/
ATOMIC_SPECIES
F 19.00 F.upf
Rb 85.47 Rb.upf
Ti 47.87 Ti.upf
CELL_PARAMETERS angstrom
4.4741 0.0000 0.0000
0.0000 4.4741 0.0000
0.0000 0.0000 4.4741
ATOMIC_POSITIONS crystal
F 0.0000 0.0000 0.0000
Rb 0.5000 0.5000 0.5000
Ti 0.0000 0.5000 0.0000
Ti 0.0000 0.0000 0.5000
Ti 0.5000 0.0000 0.0000
! Relative energy among the computed polymorphs (eV per atom): 0.0000
! Fermi-level density of states (states/eV/f.u.): 4.3
! E (eV per cell): -69.91



Entry 13:
! MnIn2Fe meta-GGA SCAN single point on PBEsol structure; values from VASP
&SYSTEM
  ibrav = 0, nat = 4, ntyp = 3
/
ATOMIC_SPECIES
Fe 55.84 Fe.upf
In 114.82 In.upf
Mn 54.94 Mn.upf
CELL_PARAMETERS angstrom
-1.0348 -1.4466 2.3711
2.7764 -0.4671 0.9267
-0.1967 6.3683 3.7994
ATOMIC_POSITIONS crystal
Fe 0.5000 0.5000 0.7037
In 0.0000 0.0000 0.9409
In 0.5000 0.5000 0.3043
Mn 0.0000 0.0000 0.5511
! Fermi-level density of states (states/eV/f.u.): 2.9
! E (eV per cell): -102.26
! Formation enthalpy at 0 K (eV per atom): 0.23



Entry 14:
! CaScIr meta-GGA SCAN single point on PBEsol structure; values from VASP
&SYSTEM
  ibrav = 0, nat = 3, ntyp = 3
/
ATOMIC_SPECIES
Sc 44.96 Sc.upf
Ca 40.08 Ca.upf
Ir 192.22 Ir.upf
CELL_PARAMETERS angstrom
3.2423 0.0000 0.0000
0.0000 3.2423 0.0000
-1.6211 -1.6211 6.3567
ATOMIC_POSITIONS crystal
Sc 0.2888 0.2888 0.5776
Ca 0.0300 0.0300 0.0600
Ir 0.6812 0.6812 0.3624
! Fermi-level density of states (states/eV/f.u.): 1.5
! E (eV per cell): -96.88
! Formation enthalpy at 0 K (eV per atom): -0.63



no.,total magnetization (μB per cell)
1,0.53
2,0.00
3,0.00
4,0.00
5,9.42
6,0.00
7,0.00
8,0.00
9,0.00
10,0.00
11,0.00
12,1.06
13,4.66
14,0.00